No. 1
DFT (PBE) results for Nb2Zn2Ir after structural relaxation.

a b c (Å): 6.5349 6.5349 3.7101
angles (deg): 90.00 90.00 90.00
Last column: nearest neighbours and their distance in Å.
Space group P4/mbm (No. 127)
Unique sites:
Nb: 0.1720 0.3280 0.0000 [4 per cell]  6 Zn 2.61-2.72
Zn: 0.1300 0.6300 0.5000 [4 per cell]  1 Zn 2.40, 2 Ir 2.56, 2 Nb 2.61
Ir: 0.0000 0.0000 0.5000 [2 per cell]  4 Zn 2.56

M_tot   0.00 μB per atom
V   158.44 Å³ per cell
Density   10.67 Mg/m³
E_tot   -6.393 eV per atom



No. 2
DFT (PBE) results for Be2PtPb after structural relaxation.

a b c (Å): 3.0308 3.5881 12.4702
angles (deg): 90.00 90.00 90.00
Last column: nearest neighbours and their distance in Å.
Space group Imm2 (No. 44)
Unique sites:
Be: 0.0000 0.0000 0.0000 [2 per cell]  2 Pt 2.28, 2 Be 2.43
Be: 0.0000 0.5000 0.1319 [2 per cell]  4 Pt 2.35, 2 Be 2.43
Pt: 0.0000 0.5000 0.6368 [2 per cell]  6 Be 2.28-2.35
Pb: 0.0000 0.0000 0.3597 [2 per cell]  4 Be 2.93, 2 Pb 3.03, 2 Pt 3.17

M_tot   0.00 μB per atom
V   135.61 Å³ per cell
Density   10.29 Mg/m³
E_tot   -4.308 eV per atom



No. 3
DFT (PBE) results for Th6Co2Te3P after structural relaxation.

a b c (Å): 7.2550 12.5204 7.8230
angles (deg): 90.00 107.97 90.00
Last column: nearest neighbours and their distance in Å.
Space group C2/m (No. 12)
Unique sites:
Th: 0.2146 0.0000 0.1978 [4 per cell]  2 Co 2.78, 1 P 2.94
Th: 0.2425 0.3242 0.1995 [8 per cell]  2 Co 2.77-2.78, 1 P 2.95
Co: 0.0000 0.1674 0.0000 [4 per cell]  6 Th 2.77-2.78
Te: 0.0000 0.0000 0.5000 [2 per cell]  6 Th 3.21-3.34
Te: 0.0000 0.3408 0.5000 [4 per cell]  6 Th 3.25-3.35
P: 0.0000 0.5000 0.0000 [2 per cell]  6 Th 2.94-2.95

M_tot   0.00 μB per atom
V   675.96 Å³ per cell
Density   9.45 Mg/m³
E_tot   -7.076 eV per atom
Formation energy without anion corrections   -11.3 eV/f.u.



No. 4
DFT (PBE) results for Mg3SnBi after structural relaxation.

a b c (Å): 14.9878 15.7918 4.8850
angles (deg): 90.00 108.34 90.00
Last column: nearest neighbours and their distance in Å.
Space group C2/c (No. 15)
Unique sites:
Mg: 0.1065 0.0804 0.3675 [8 per cell]  3 Bi 3.03-3.38, 1 Mg 3.03, 1 Sn 3.11
Mg: 0.1184 0.2592 0.8643 [8 per cell]  2 Bi 2.95-3.07, 3 Sn 2.97-3.29
Mg: 0.1418 0.4095 0.3875 [8 per cell]  2 Bi 3.05-3.06, 4 Sn 3.13-3.20
Sn: 0.0000 0.2526 0.2500 [4 per cell]  8 Mg 2.97-3.19
Sn: 0.0000 0.4386 0.7500 [4 per cell]  2 Sn 3.12, 8 Mg 3.13-3.29
Bi: 0.2302 0.1021 0.9874 [8 per cell]  6 Mg 2.95-3.07

M_tot   0.00 μB per atom
V   1097.46 Å³ per cell
Density   4.85 Mg/m³
E_tot   -2.618 eV per atom



No. 5
DFT (PBE) results for InSnP2 after structural relaxation.

a b c (Å): 4.0213 4.0213 22.8708
angles (deg): 90.00 90.00 120.00
Last column: nearest neighbours and their distance in Å.
Space group R-3m (No. 166, hexagonal axes)
Unique sites:
In: 0.0000 0.0000 0.0000 [3 per cell]  2 P 2.46
Sn: 0.0000 0.0000 0.5000 [3 per cell]  6 P 2.69
P: 0.0000 0.0000 0.1074 [6 per cell]  1 In 2.46, 3 Sn 2.69

M_tot   0.00 μB per atom
V   320.30 Å³ per cell
Density   4.60 Mg/m³
E_tot   -4.091 eV per atom



No. 6
DFT (PBE) results for Sc3TaRu4 after structural relaxation.

a b c (Å): 4.5141 4.5141 12.8002
angles (deg): 90.00 90.00 90.00
Last column: nearest neighbours and their distance in Å.
Space group I4/mmm (No. 139)
Unique sites:
Sc: 0.0000 0.0000 0.0000 [2 per cell]  8 Ru 2.74
Sc: 0.0000 0.0000 0.2489 [4 per cell]  8 Ru 2.79-2.81
Ta: 0.0000 0.0000 0.5000 [2 per cell]  8 Ru 2.74
Ru: 0.0000 0.5000 0.1208 [8 per cell]  2 Ta 2.74, 6 Sc 2.74-2.81

M_tot   0.00 μB per atom
V   260.84 Å³ per cell
Density   9.17 Mg/m³
E_tot   -9.114 eV per atom



Q: Among the records above, which one has the lowest density?
A: InSnP2



Q: Look up the E_tot of the second one.
A: -4.308 eV per atom